A geometry-optimized HfZrTaHg structure. Source: the Alexandria database, functional PBE.

The space group is F-43m (No. 216) and the conventional cell measures 6.905, 6.905 and 6.905 Å, with angles of 90.00, 90.00 and 90.00 degrees. The asymmetric unit holds Hf at (0.000, 0.000, 0.000), Zr at (0.000, 0.000, 0.500), Ta at (0.250, 0.250, 0.750) and Hg at (0.250, 0.250, 0.250).

For the calculated density, the calculation gives 13.14 g/cm³. The calculation puts the total energy at -0.2779 Ha/atom.


A geometry-optimized RbNa2InH6 structure. Source: the Alexandria database, functional PBE.

The space group is P2_1/c (No. 14) and the conventional cell measures 5.645, 6.241 and 10.265 Å, with angles of 90.00, 123.35 and 90.00 degrees. The asymmetric unit holds Rb at (0.000, 0.000, 0.000), Na at (0.212, 0.001, 0.713), In at (0.500, 0.000, 0.500), H at (0.199, 0.630, 0.001), H at (0.204, 0.198, 0.333) and H at (0.464, 0.701, 0.835).

For the calculated density, the calculation gives 2.77 g/cm³. The calculation puts the total energy at -0.0986 Ha/atom.


A geometry-optimized TbY4Tm4 structure. Source: the Alexandria database, functional PBE.

The space group is C2/m (No. 12) and the conventional cell measures 11.170, 4.997 and 10.601 Å, with angles of 90.00, 108.36 and 90.00 degrees. The asymmetric unit holds Tb at (0.000, 0.000, 0.000), Y at (0.001, 0.000, 0.334), Y at (0.167, 0.500, 0.888), Tm at (0.167, 0.500, 0.555) and Tm at (0.168, 0.500, 0.224).

For the calculated density, the calculation gives 7.04 g/cm³. The calculation puts the total energy at -0.1965 Ha/atom.


A geometry-optimized TaCd2Co structure. Source: the Alexandria database, functional PBE.

The space group is P2/m (No. 10) and the conventional cell measures 2.844, 4.662 and 5.338 Å, with angles of 90.00, 103.64 and 90.00 degrees. The asymmetric unit holds Ta at (0.000, 0.000, 0.000), Cd at (0.342, 0.500, 0.735) and Co at (0.500, 0.000, 0.500).

For the calculated density, the calculation gives 11.22 g/cm³. The calculation puts the total energy at -0.1759 Ha/atom.


A geometry-optimized Li12Hg3Pt structure. Source: the Alexandria database, functional PBE.

The space group is P4/mmm (No. 123) and the conventional cell measures 4.048, 4.048 and 16.321 Å, with angles of 90.00, 90.00 and 90.00 degrees. The asymmetric unit holds Li at (0.000, 0.000, 0.000), Li at (0.000, 0.000, 0.240), Li at (0.000, 0.000, 0.500), Li at (0.000, 0.500, 0.108), Li at (0.000, 0.500, 0.370), Hg at (0.500, 0.500, 0.239), Hg at (0.500, 0.500, 0.500) and Pt at (0.500, 0.500, 0.000).

For the calculated density, the calculation gives 5.47 g/cm³. The calculation puts the total energy at -0.0794 Ha/atom.


A geometry-optimized LiCu2Ru structure. Source: the Alexandria database, functional PBE.

The space group is I4/mmm (No. 139) and the conventional cell measures 3.795, 3.795 and 6.993 Å, with angles of 90.00, 90.00 and 90.00 degrees. The asymmetric unit holds Li at (0.000, 0.000, 0.000), Cu at (0.000, 0.500, 0.250) and Ru at (0.000, 0.000, 0.500).

For the calculated density, the calculation gives 7.75 g/cm³. The calculation puts the total energy at -0.1695 Ha/atom.